# 1
First-principles (GGA-PBE) data for crystalline Ca2YZn at its relaxed geometry, as listed in the Alexandria database. Values from VASP.

Geometry as Quantum ESPRESSO input:
```
&SYSTEM
  ibrav = 0, nat = 4, ntyp = 3
/
ATOMIC_SPECIES
Y 88.91 Y.upf
Ca 40.08 Ca.upf
Zn 65.41 Zn.upf
ATOMIC_POSITIONS crystal
Y 0.250 0.250 0.250
Ca 0.013 0.013 0.013
Ca 0.487 0.487 0.487
Zn 0.750 0.750 0.750
CELL_PARAMETERS angstrom
-9.133 -3.947 -4.302
-6.863 -6.906 -4.764
-8.631 -6.386 -1.489
```

Calculated values
Total energy: -2.895 eV/atom
M_tot: 0.000 μB/atom
ΔE_f: 0.0405 eV/atom

=====

# 2
First-principles (GGA-PBE) data for crystalline CaY2Zn at its relaxed geometry, as listed in the Alexandria database. Values from VASP.

Geometry as Quantum ESPRESSO input:
```
&SYSTEM
  ibrav = 0, nat = 4, ntyp = 3
/
ATOMIC_SPECIES
Zn 65.41 Zn.upf
Ca 40.08 Ca.upf
Y 88.91 Y.upf
ATOMIC_POSITIONS crystal
Zn 0.000 0.516 0.484
Ca 0.500 0.800 0.700
Y 0.000 0.979 0.021
Y 0.500 0.205 0.295
CELL_PARAMETERS angstrom
3.582 0.000 0.000
0.000 3.583 0.007
0.000 3.563 9.146
```

Calculated values
Total energy: -4.165 eV/atom
M_tot: 0.000 μB/atom
ΔE_f: -0.1141 eV/atom

=====

# 3
First-principles (GGA-PBE) data for crystalline CaYZn3 at its relaxed geometry, as listed in the Alexandria database. Values from VASP.

Geometry as Quantum ESPRESSO input:
```
&SYSTEM
  ibrav = 0, nat = 10, ntyp = 3
/
ATOMIC_SPECIES
Ca 40.08 Ca.upf
Zn 65.41 Zn.upf
Y 88.91 Y.upf
ATOMIC_POSITIONS crystal
Ca 0.794 0.250 0.587
Ca 0.206 0.750 0.413
Zn 0.477 0.250 0.954
Zn 0.614 0.750 0.229
Zn 0.335 0.750 0.670
Zn 0.665 0.250 0.330
Zn 0.523 0.750 0.046
Zn 0.386 0.250 0.771
Y 0.931 0.750 0.862
Y 0.069 0.250 0.138
CELL_PARAMETERS angstrom
3.658 0.000 -0.504
0.000 4.419 0.000
0.062 0.000 13.986
```

Calculated values
Total energy: -2.770 eV/atom
M_tot: 0.000 μB/atom
ΔE_f: -0.3121 eV/atom

=====

# 4
First-principles (GGA-PBE) data for crystalline Ca2Y2Zn3 at its relaxed geometry, as listed in the Alexandria database. Values from VASP.

Geometry as Quantum ESPRESSO input:
```
&SYSTEM
  ibrav = 0, nat = 7, ntyp = 3
/
ATOMIC_SPECIES
Ca 40.08 Ca.upf
Y 88.91 Y.upf
Zn 65.41 Zn.upf
ATOMIC_POSITIONS crystal
Ca 0.253 0.127 0.380
Ca 0.747 0.873 0.620
Y 0.248 0.624 0.872
Y 0.752 0.376 0.128
Zn 0.486 0.743 0.229
Zn 0.514 0.257 0.771
Zn 0.000 0.000 0.000
CELL_PARAMETERS angstrom
1.187 -3.227 -3.683
-0.931 -1.713 4.647
-8.686 1.918 -1.033
```

Calculated values
Total energy: -3.179 eV/atom
M_tot: 0.000 μB/atom
ΔE_f: -0.2144 eV/atom